Record 1
VASP calculation (PBE) on an optimized crystal structure of ScSi2Cl.

Computed properties:
Final energy ... -4.777 eV per atom
Energy relative to the elements, uncorrected ... -2 kJ/mol of atoms
Total moment ... 0.0 μB per cell
Excess energy over the best structure of this formula in the dataset ... 579 meV/atom

a b c (Å): 4.7155 4.7155 4.7155
angles (deg): 119.91 119.91 90.16
Last column: nearest neighbours and their distance in Å.
Sites, in units of the cell vectors:
Cl (0.5000, 0.5000, 0.0000)  4 Sc 2.89, 4 Si 2.89
Sc (0.7500, 0.2500, 0.5000)  4 Cl 2.89, 4 Si 2.89
Si (0.0000, 0.0000, 0.0000)  4 Si 2.89, 4 Sc 2.89
Si (0.2500, 0.7500, 0.5000)  4 Cl 2.89, 4 Si 2.89

=====

Record 2
VASP calculation (PBE) on an optimized crystal structure of ScSiCl2.

Computed properties:
Final energy ... -4.446 eV per atom
Energy relative to the elements, uncorrected ... -56 kJ/mol of atoms
Total moment ... 0.0 μB per cell
Excess energy over the best structure of this formula in the dataset ... 365 meV/atom

a b c (Å): 3.2647 3.2647 12.0657
angles (deg): 90.00 90.00 117.56
Last column: nearest neighbours and their distance in Å.
Sites, in units of the cell vectors:
Cl (0.0000, 0.0000, 0.0983)  2 Sc 2.49
Cl (0.0000, 0.0000, 0.4017)  2 Sc 2.49
Sc (0.5000, 0.5000, 0.2500)  4 Cl 2.49
Si (0.5000, 0.5000, 0.7500)  6 Si 3.26-3.38

=====

Record 3
VASP calculation (PBE) on an optimized crystal structure of ScSiCl2.

Computed properties:
Final energy ... -4.140 eV per atom
Energy relative to the elements, uncorrected ... -27 kJ/mol of atoms
Total moment ... 0.0 μB per cell
Excess energy over the best structure of this formula in the dataset ... 671 meV/atom

a b c (Å): 5.1305 5.1305 3.1801
angles (deg): 90.00 90.00 107.89
Last column: nearest neighbours and their distance in Å.
Sites, in units of the cell vectors:
Cl (0.0000, 0.0000, 0.0000)  4 Sc 3.02, 4 Si 3.02, 4 Cl 3.02-3.18
Cl (0.5000, 0.5000, 0.0000)  4 Si 3.02, 4 Sc 3.02, 4 Cl 3.02-3.18
Sc (0.5000, 0.0000, 0.5000)  8 Cl 3.02, 2 Si 3.02, 2 Sc 3.18
Si (0.0000, 0.5000, 0.5000)  8 Cl 3.02, 2 Sc 3.02, 2 Si 3.18